Entry 1:
A plane-wave DFT calculation with PBE was carried out for an optimized crystal structure of Hf2SnPb.

The magnetic moment comes out at 0.00 μB/cell.

Unit cell a=3.8007 b=3.8007 c=23.9173 alpha=90.00 beta=90.00 gamma=120.00
With the nearest neighbours (Å) after each atom.
Space group R3m (No. 160, hexagonal axes)
Asymmetric unit:
Hf: 0.0000 0.0000 0.0000 [3 per cell]  3 Sn 2.84, 3 Pb 3.06
Hf: 0.0000 0.0000 0.1803 [3 per cell]  3 Sn 2.87, 3 Pb 3.09
Sn: 0.0000 0.0000 0.5910 [3 per cell]  6 Hf 2.84-2.87
Pb: 0.0000 0.0000 0.4224 [3 per cell]  6 Hf 3.06-3.09

Entry 2:
A plane-wave DFT calculation with PBE was carried out for an optimized crystal structure of Hf4SnPb.

The magnetic moment comes out at 0.00 μB/cell.

Unit cell a=5.2266 b=9.8050 c=5.2276 alpha=90.00 beta=90.00 gamma=90.00
With the nearest neighbours (Å) after each atom.
Space group Cmmm (No. 65)
Asymmetric unit:
Hf: 0.0000 0.1648 0.0000 [4 per cell]  3 Pb 3.07-3.29, 2 Sn 3.07, 5 Hf 3.09-3.23
Hf: 0.0000 0.3332 0.5000 [4 per cell]  5 Hf 3.08-3.27, 3 Sn 3.08-3.27, 2 Pb 3.08
Sn: 0.0000 0.0000 0.5000 [2 per cell]  10 Hf 3.07-3.27
Pb: 0.0000 0.5000 0.0000 [2 per cell]  10 Hf 3.07-3.29

Entry 3:
A plane-wave DFT calculation with PBE was carried out for an optimized crystal structure of Hf2SnPb.

The magnetic moment comes out at 0.00 μB/cell.

Unit cell a=4.6083 b=4.6083 c=4.3004 alpha=90.00 beta=90.00 gamma=90.00
With the nearest neighbours (Å) after each atom.
Space group P4/mmm (No. 123)
Asymmetric unit:
Hf: 0.0000 0.5000 0.0000 [2 per cell]  4 Pb 3.15, 4 Sn 3.15, 4 Hf 3.26
Sn: 0.0000 0.0000 0.5000 [1 per cell]  8 Hf 3.15, 4 Pb 3.26
Pb: 0.5000 0.5000 0.5000 [1 per cell]  8 Hf 3.15, 4 Sn 3.26

Entry 4:
A plane-wave DFT calculation with PBE was carried out for an optimized crystal structure of HfSnPb3.

The magnetic moment comes out at 0.00 μB/cell.

Unit cell a=5.6664 b=5.6664 c=5.6664 alpha=90.00 beta=90.00 gamma=90.00
With the nearest neighbours (Å) after each atom.
Space group Pm-3m (No. 221)
Asymmetric unit:
Hf: 0.0000 0.0000 0.0000 [1 per cell]  12 Pb 4.01
Sn: 0.5000 0.5000 0.5000 [1 per cell]  6 Pb 2.83
Pb: 0.0000 0.5000 0.5000 [3 per cell]  2 Sn 2.83

Entry 5:
A plane-wave DFT calculation with PBE was carried out for an optimized crystal structure of HfSn2Pb.

The magnetic moment comes out at 0.00 μB/cell.

Unit cell a=3.2959 b=3.2959 c=34.0012 alpha=90.00 beta=90.00 gamma=120.00
With the nearest neighbours (Å) after each atom.
Space group R-3m (No. 166, hexagonal axes)
Asymmetric unit:
Hf: 0.0000 0.0000 0.0000 [3 per cell]  6 Sn 3.11, 6 Hf 3.30
Sn: 0.0000 0.0000 0.4056 [6 per cell]  3 Hf 3.11, 1 Pb 3.21, 6 Sn 3.30
Pb: 0.0000 0.0000 0.5000 [3 per cell]  2 Sn 3.21, 6 Pb 3.30

Entry 6:
A plane-wave DFT calculation with PBE was carried out for an optimized crystal structure of Hf5SnPb.

The magnetic moment comes out at 0.00 μB/cell.

Unit cell a=13.0118 b=8.0871 c=7.9371 alpha=90.00 beta=117.47 gamma=90.00
With the nearest neighbours (Å) after each atom.
Space group C2/c (No. 15)
Asymmetric unit:
Hf: 0.0000 0.2072 0.2500 [4 per cell]  1 Sn 2.93, 2 Pb 2.95, 6 Hf 2.97-3.20
Hf: 0.0806 0.1181 0.6546 [8 per cell]  1 Sn 2.96, 8 Hf 2.97-3.28, 1 Pb 3.16
Hf: 0.1775 0.1868 0.0753 [8 per cell]  4 Hf 2.85-3.04, 1 Pb 3.09
Sn: 0.0000 0.4303 0.7500 [4 per cell]  5 Hf 2.93-3.22
Pb: 0.2500 0.2500 0.5000 [4 per cell]  6 Hf 2.95-3.16

Entry 7:
A plane-wave DFT calculation with PBE was carried out for an optimized crystal structure of Hf7Sn2Pb2.

The magnetic moment comes out at 0.00 μB/cell.

Unit cell a=8.5004 b=10.1607 c=6.5870 alpha=90.00 beta=90.00 gamma=90.00
With the nearest neighbours (Å) after each atom.
Space group Cmmm (No. 65)
Asymmetric unit:
Hf: 0.0000 0.0000 0.0000 [2 per cell]  2 Sn 2.83
Hf: 0.0000 0.5000 0.2673 [4 per cell]  2 Sn 2.86, 1 Hf 3.07, 2 Pb 3.12
Hf: 0.2500 0.2500 0.2727 [8 per cell]  2 Sn 2.80, 1 Hf 2.99, 2 Pb 3.01
Sn: 0.0000 0.2785 0.0000 [4 per cell]  7 Hf 2.80-2.86
Pb: 0.1806 0.0000 0.5000 [4 per cell]  6 Hf 3.01-3.12, 1 Pb 3.07

Entry 8:
A plane-wave DFT calculation with PBE was carried out for an optimized crystal structure of Hf7Sn2Pb.

The magnetic moment comes out at 0.00 μB/cell.

Unit cell a=8.0016 b=14.1434 c=4.9894 alpha=90.00 beta=90.00 gamma=90.00
With the nearest neighbours (Å) after each atom.
Space group Cmmm (No. 65)
Asymmetric unit:
Hf: 0.0000 0.0000 0.0000 [2 per cell]  2 Sn 2.82, 4 Hf 3.04
Hf: 0.0000 0.2884 0.5000 [4 per cell]  2 Sn 2.80, 1 Pb 2.99
Hf: 0.1762 0.3871 0.0000 [8 per cell]  2 Hf 2.82-3.04, 2 Sn 2.86-3.01
Sn: 0.0000 0.1991 0.0000 [4 per cell]  7 Hf 2.80-3.01
Pb: 0.0000 0.5000 0.5000 [2 per cell]  10 Hf 2.99-3.28

Entry 9:
A plane-wave DFT calculation with PBE was carried out for an optimized crystal structure of HfSnPb3.

The magnetic moment comes out at 0.00 μB/cell.

Unit cell a=5.6379 b=5.6379 c=5.6379 alpha=90.00 beta=90.00 gamma=90.00
With the nearest neighbours (Å) after each atom.
Space group Pm-3m (No. 221)
Asymmetric unit:
Hf: 0.0000 0.0000 0.0000 [1 per cell]  6 Pb 2.82
Sn: 0.5000 0.5000 0.5000 [1 per cell]  12 Pb 3.99
Pb: 0.0000 0.0000 0.5000 [3 per cell]  2 Hf 2.82

Entry 10:
A plane-wave DFT calculation with PBE was carried out for an optimized crystal structure of YHfSn2Pb.

The magnetic moment comes out at 0.00 μB/cell.

Unit cell a=5.5172 b=5.5172 c=5.5622 alpha=90.00 beta=90.00 gamma=90.00
With the nearest neighbours (Å) after each atom.
Space group P4/mmm (No. 123)
Asymmetric unit:
Y: 0.0000 0.0000 0.0000 [1 per cell]  2 Hf 2.78
Hf: 0.0000 0.0000 0.5000 [1 per cell]  4 Sn 2.76, 2 Y 2.78
Sn: 0.0000 0.5000 0.5000 [2 per cell]  2 Hf 2.76
Pb: 0.5000 0.5000 0.0000 [1 per cell]  4 Y 3.90, 8 Sn 3.92

Entry 11:
A plane-wave DFT calculation with PBE was carried out for an optimized crystal structure of HfZr2SnPb.

The magnetic moment comes out at 0.00 μB/cell.

Unit cell a=5.2272 b=5.2272 c=5.4809 alpha=90.00 beta=90.00 gamma=90.00
With the nearest neighbours (Å) after each atom.
Space group P4/mmm (No. 123)
Asymmetric unit:
Hf: 0.0000 0.0000 0.0000 [1 per cell]  4 Zr 2.61, 2 Pb 2.74
Zr: 0.0000 0.5000 0.0000 [2 per cell]  2 Hf 2.61
Sn: 0.5000 0.5000 0.5000 [1 per cell]  4 Pb 3.70, 8 Zr 3.79
Pb: 0.0000 0.0000 0.5000 [1 per cell]  2 Hf 2.74

Entry 12:
A plane-wave DFT calculation with PBE was carried out for an optimized crystal structure of Sr3HfPb.

The magnetic moment comes out at 2.11 μB/cell.

Unit cell a=6.1048 b=6.1048 c=6.1048 alpha=90.00 beta=90.00 gamma=90.00
With the nearest neighbours (Å) after each atom.
Space group Pm-3m (No. 221)
Asymmetric unit:
Sr: 0.0000 0.0000 0.5000 [3 per cell]  2 Hf 3.05
Hf: 0.0000 0.0000 0.0000 [1 per cell]  6 Sr 3.05
Pb: 0.5000 0.5000 0.5000 [1 per cell]  12 Sr 4.32

One value per record, in order, for formation energy: 44; -101; -17; 547; -16; 235; 397; 591; 231; 188; 414; 399 kJ/mol of formula units.
One value per record, in order, for VASP energy: -81.48; -97.14; -27.80; -19.42; -65.51; -220.18; -161.97; -150.53; -22.69; -26.18; -30.47; -14.58 eV/cell.